# ZrV3F PBE with a Hubbard U optimized geometry
# - Space-group type: Pm-3m (221)
# - Final energy: -4.636 eV/atom
# - Volume: 126.1 Å³/f.u.
# - Polymorph energy (0 for the lowest one): 1.542 eV/atom
# - Mass density: 3.46 g cm⁻³
data_ZrV3F
_space_group_name_H-M_alt 'P 1'
_space_group_IT_number 1
_cell_length_a 5.014
_cell_length_b 5.014
_cell_length_c 5.014
_cell_angle_alpha 90.00
_cell_angle_beta 90.00
_cell_angle_gamma 90.00
loop_
_space_group_symop_operation_xyz
'x,y,z'
loop_
_atom_site_label
_atom_site_type_symbol
_atom_site_fract_x
_atom_site_fract_y
_atom_site_fract_z
_atom_site_occupancy
V1 V 0.000 0.500 0.000 1
V2 V 0.000 0.000 0.500 1
V3 V 0.500 0.000 0.000 1
Zr1 Zr 0.000 0.000 0.000 1
F1 F 0.500 0.500 0.500 1